Here is a relaxed Co3BrF crystal from Alexandria via LeMat-Bulk. Energies are from PBE+U.

## Properties
DOS(E_F)	3.03	states/eV per cell
raw total energy	-2.88	eV/atom

Lattice parameters (Å, degrees): 4.440 4.440 4.440 90.00 90.00 90.00
Fractional coordinates of all 5 atoms:
1 Co 0.000 0.500 0.000
2 Co 0.500 0.000 0.000
3 Co 0.000 0.000 0.500
4 F 0.500 0.500 0.500
5 Br 0.000 0.000 0.000

***

Here is a relaxed CoBr4F2 crystal from Alexandria via LeMat-Bulk. Energies are from PBE+U.

## Properties
DOS(E_F)	0.49	states/eV per cell
raw total energy	-2.42	eV/atom

Lattice parameters (Å, degrees): 4.983 4.983 9.207 74.30 74.30 90.00
Fractional coordinates of all 7 atoms:
1 Br 0.220 0.220 0.560
2 Br 0.500 0.000 0.000
3 Br 0.000 0.500 0.000
4 Br 0.780 0.780 0.440
5 Co 0.000 0.000 0.000
6 F 0.674 0.674 0.652
7 F 0.326 0.326 0.348

***

Here is a relaxed CoBr3F crystal from Alexandria via LeMat-Bulk. Energies are from PBE+U.

## Properties
DOS(E_F)	7.42	states/eV per cell
raw total energy	-2.22	eV/atom

Lattice parameters (Å, degrees): 4.940 4.940 4.940 90.00 90.00 90.00
Fractional coordinates of all 5 atoms:
1 F 0.500 0.500 0.500
2 Br 0.500 0.000 0.000
3 Br 0.000 0.500 0.000
4 Br 0.000 0.000 0.500
5 Co 0.000 0.000 0.000

***

Here is a relaxed CoHgBr2F crystal from Alexandria via LeMat-Bulk. Energies are from PBE+U.

## Properties
DOS(E_F)	3.59	states/eV per cell
raw total energy	-2.74	eV/atom

Lattice parameters (Å, degrees): 5.327 3.868 5.327 90.00 90.00 90.00
Fractional coordinates of all 5 atoms:
1 Co 0.000 0.000 0.000
2 Hg 0.500 0.500 0.500
3 F 0.000 0.500 0.000
4 Br 0.000 0.000 0.500
5 Br 0.500 0.000 0.000

***

Here is a relaxed K2CoBr2F2 crystal from Alexandria via LeMat-Bulk. Energies are from PBE+U.

## Properties
DOS(E_F)	0.00	states/eV per cell
raw total energy	-3.95	eV/atom

Lattice parameters (Å, degrees): 4.043 6.754 7.170 64.83 73.62 72.58
Fractional coordinates of all 7 atoms:
1 Co 0.000 0.000 0.000
2 K 0.190 0.354 0.266
3 K 0.810 0.646 0.734
4 F 0.832 0.266 0.071
5 F 0.168 0.734 0.929
6 Br 0.548 0.186 0.719
7 Br 0.452 0.814 0.281

***

Here is a relaxed LiCoBrF2 crystal from Alexandria via LeMat-Bulk. Energies are from PBE+U.

## Properties
DOS(E_F)	0.00	states/eV per cell
raw total energy	-4.23	eV/atom

Lattice parameters (Å, degrees): 3.942 3.942 5.506 90.00 90.00 90.00
Fractional coordinates of all 5 atoms:
1 Li 0.500 0.500 0.500
2 F 0.500 0.000 0.000
3 F 0.000 0.500 0.000
4 Co 0.000 0.000 0.000
5 Br 0.000 0.000 0.500

***

Here is a relaxed CoBrNF2 crystal from Alexandria via LeMat-Bulk. Energies are from PBE+U.

## Properties
DOS(E_F)	4.57	states/eV per cell
raw total energy	-3.73	eV/atom

Lattice parameters (Å, degrees): 3.765 3.765 4.539 90.00 90.00 90.00
Fractional coordinates of all 5 atoms:
1 N 0.000 0.000 0.500
2 Co 0.000 0.000 0.000
3 Br 0.500 0.500 0.500
4 F 0.500 0.000 0.000
5 F 0.000 0.500 0.000

***

Here is a relaxed CoBrNF2 crystal from Alexandria via LeMat-Bulk. Energies are from PBE+U.

## Properties
DOS(E_F)	5.73	states/eV per cell
raw total energy	-3.02	eV/atom

Lattice parameters (Å, degrees): 4.717 4.717 3.713 90.00 90.00 90.00
Fractional coordinates of all 5 atoms:
1 Br 0.000 0.000 0.000
2 F 0.000 0.500 0.000
3 F 0.500 0.000 0.000
4 N 0.000 0.000 0.500
5 Co 0.500 0.500 0.500

***

Here is a relaxed CoBrN2F crystal from Alexandria via LeMat-Bulk. Energies are from PBE+U.

## Properties
DOS(E_F)	2.28	states/eV per cell
raw total energy	-4.05	eV/atom

Lattice parameters (Å, degrees): 3.814 3.814 3.952 90.00 90.00 90.00
Fractional coordinates of all 5 atoms:
1 Co 0.000 0.000 0.000
2 N 0.500 0.000 0.000
3 N 0.000 0.500 0.000
4 F 0.000 0.000 0.500
5 Br 0.500 0.500 0.500

***

Here is a relaxed CoBrN2F crystal from Alexandria via LeMat-Bulk. Energies are from PBE+U.

## Properties
DOS(E_F)	2.47	states/eV per cell
raw total energy	-3.26	eV/atom

Lattice parameters (Å, degrees): 3.977 3.977 4.172 90.00 90.00 90.00
Fractional coordinates of all 5 atoms:
1 N 0.500 0.000 0.000
2 N 0.000 0.500 0.000
3 Br 0.000 0.000 0.000
4 F 0.000 0.000 0.500
5 Co 0.500 0.500 0.500

***

Here is a relaxed NaCoBrF2 crystal from Alexandria via LeMat-Bulk. Energies are from PBE+U.

## Properties
DOS(E_F)	0.00	states/eV per cell
raw total energy	-4.16	eV/atom

Lattice parameters (Å, degrees): 4.048 4.048 5.386 90.00 90.00 90.00
Fractional coordinates of all 5 atoms:
1 F 0.000 0.500 0.000
2 F 0.500 0.000 0.000
3 Br 0.000 0.000 0.500
4 Co 0.000 0.000 0.000
5 Na 0.500 0.500 0.500

***

Here is a relaxed NaCoBrF2 crystal from Alexandria via LeMat-Bulk. Energies are from PBE+U.

## Properties
DOS(E_F)	0.00	states/eV per cell
raw total energy	-4.21	eV/atom

Lattice parameters (Å, degrees): 3.922 6.134 8.108 94.29 90.00 90.00
Fractional coordinates of all 10 atoms:
1 Br 0.750 0.436 0.244
2 Br 0.250 0.564 0.756
3 F 0.750 0.053 0.899
4 F 0.750 0.938 0.375
5 F 0.250 0.947 0.101
6 F 0.250 0.062 0.625
7 Co 0.750 0.047 0.159
8 Co 0.250 0.953 0.841
9 Na 0.750 0.239 0.578
10 Na 0.250 0.761 0.422

***

Here is a relaxed CoBrOF2 crystal from Alexandria via LeMat-Bulk. Energies are from PBE+U.

## Properties
DOS(E_F)	7.86	states/eV per cell
raw total energy	-2.91	eV/atom

Lattice parameters (Å, degrees): 4.793 4.793 3.713 90.00 90.00 90.00
Fractional coordinates of all 5 atoms:
1 O 0.000 0.000 0.500
2 F 0.000 0.500 0.000
3 F 0.500 0.000 0.000
4 Co 0.500 0.500 0.500
5 Br 0.000 0.000 0.000

***

Here is a relaxed CoBrO2F crystal from Alexandria via LeMat-Bulk. Energies are from PBE+U.

## Properties
DOS(E_F)	6.49	states/eV per cell
raw total energy	-3.36	eV/atom

Lattice parameters (Å, degrees): 3.778 3.778 5.412 90.00 90.00 90.00
Fractional coordinates of all 5 atoms:
1 F 0.000 0.000 0.500
2 O 0.000 0.500 0.000
3 O 0.500 0.000 0.000
4 Co 0.500 0.500 0.500
5 Br 0.000 0.000 0.000

***

Here is a relaxed CoBrOF2 crystal from Alexandria via LeMat-Bulk. Energies are from PBE+U.

## Properties
DOS(E_F)	4.28	states/eV per cell
raw total energy	-3.20	eV/atom

Lattice parameters (Å, degrees): 4.764 3.461 4.764 90.00 90.00 90.00
Fractional coordinates of all 5 atoms:
1 F 0.000 0.000 0.500
2 F 0.500 0.000 0.000
3 O 0.000 0.000 0.000
4 Br 0.500 0.500 0.500
5 Co 0.000 0.500 0.000

***

Here is a relaxed CoBrO2F crystal from Alexandria via LeMat-Bulk. Energies are from PBE+U.

## Properties
DOS(E_F)	3.29	states/eV per cell
raw total energy	-3.87	eV/atom

Lattice parameters (Å, degrees): 3.861 3.861 3.987 90.00 90.00 90.00
Fractional coordinates of all 5 atoms:
1 O 0.000 0.500 0.000
2 O 0.500 0.000 0.000
3 Co 0.000 0.000 0.000
4 F 0.000 0.000 0.500
5 Br 0.500 0.500 0.500

***

Here is a relaxed CoBrOF2 crystal from Alexandria via LeMat-Bulk. Energies are from PBE+U.

## Properties
DOS(E_F)	3.99	states/eV per cell
raw total energy	-3.76	eV/atom

Lattice parameters (Å, degrees): 3.735 3.735 4.952 90.00 90.00 90.00
Fractional coordinates of all 5 atoms:
1 F 0.500 0.000 0.000
2 F 0.000 0.500 0.000
3 Co 0.000 0.000 0.000
4 Br 0.500 0.500 0.500
5 O 0.000 0.000 0.500

***

Here is a relaxed Rb2CoBr6F crystal from Alexandria via LeMat-Bulk. Energies are from PBE+U.

## Properties
DOS(E_F)	8.12	states/eV per cell
raw total energy	-2.72	eV/atom

Lattice parameters (Å, degrees): 7.215 7.215 7.615 61.72 61.72 90.00
Fractional coordinates of all 10 atoms:
1 Rb 0.750 0.250 0.500
2 Rb 0.250 0.750 0.500
3 Co 0.000 0.000 0.000
4 F 0.500 0.500 0.000
5 Br 0.242 0.242 0.000
6 Br 0.758 0.758 0.000
7 Br 0.785 0.785 0.431
8 Br 0.242 0.758 0.000
9 Br 0.215 0.215 0.569
10 Br 0.758 0.242 0.000

***

Here is a relaxed CoRh2BrF crystal from Alexandria via LeMat-Bulk. Energies are from PBE+U.

## Properties
DOS(E_F)	7.91	states/eV per cell
raw total energy	-4.01	eV/atom

Lattice parameters (Å, degrees): 4.077 5.456 4.077 90.00 90.00 90.00
Fractional coordinates of all 5 atoms:
1 Co 0.500 0.500 0.500
2 F 0.000 0.000 0.000
3 Rh 0.500 0.000 0.000
4 Rh 0.000 0.000 0.500
5 Br 0.000 0.500 0.000

***

Here is a relaxed CoSeBr2F crystal from Alexandria via LeMat-Bulk. Energies are from PBE+U.

## Properties
DOS(E_F)	8.35	states/eV per cell
raw total energy	-2.54	eV/atom

Lattice parameters (Å, degrees): 4.942 4.942 4.798 90.00 90.00 90.00
Fractional coordinates of all 5 atoms:
1 Br 0.000 0.500 0.000
2 Br 0.500 0.000 0.000
3 Se 0.000 0.000 0.500
4 F 0.500 0.500 0.500
5 Co 0.000 0.000 0.000

***

Here is a relaxed CoSeBr2F crystal from Alexandria via LeMat-Bulk. Energies are from PBE+U.

## Properties
DOS(E_F)	6.72	states/eV per cell
raw total energy	-2.34	eV/atom

Lattice parameters (Å, degrees): 5.589 5.589 3.872 90.00 90.00 90.00
Fractional coordinates of all 5 atoms:
1 Br 0.000 0.500 0.000
2 Br 0.500 0.000 0.000
3 Se 0.000 0.000 0.500
4 F 0.000 0.000 0.000
5 Co 0.500 0.500 0.500

***

Here is a relaxed Sr3CoBr2F6 crystal from Alexandria via LeMat-Bulk. Energies are from PBE+U.

## Properties
DOS(E_F)	0.00	states/eV per cell
raw total energy	-4.89	eV/atom

Lattice parameters (Å, degrees): 5.771 7.320 7.336 119.93 82.32 90.00
Fractional coordinates of all 12 atoms:
1 Br 0.894 0.280 0.559
2 Br 0.106 0.720 0.441
3 F 0.371 0.151 0.303
4 F 0.695 0.810 0.124
5 F 0.305 0.190 0.876
6 F 0.305 0.686 0.876
7 F 0.695 0.314 0.124
8 F 0.629 0.849 0.697
9 Sr 0.000 0.500 0.000
10 Sr 0.500 0.500 0.500
11 Sr 0.500 0.000 0.500
12 Co 0.500 0.000 0.000

***

Here is a relaxed TaCoBr2F crystal from Alexandria via LeMat-Bulk. Energies are from PBE+U.

## Properties
DOS(E_F)	8.40	states/eV per cell
raw total energy	-3.78	eV/atom

Lattice parameters (Å, degrees): 4.690 4.603 4.690 90.00 90.00 90.00
Fractional coordinates of all 5 atoms:
1 Co 0.000 0.000 0.000
2 Br 0.000 0.000 0.500
3 Br 0.500 0.000 0.000
4 Ta 0.000 0.500 0.000
5 F 0.500 0.500 0.500

***

Here is a relaxed ZnCo2BrF crystal from Alexandria via LeMat-Bulk. Energies are from PBE+U.

## Properties
DOS(E_F)	1.67	states/eV per cell
raw total energy	-2.43	eV/atom

Lattice parameters (Å, degrees): 4.452 5.178 4.452 90.00 90.00 90.00
Fractional coordinates of all 5 atoms:
1 F 0.000 0.500 0.000
2 Co 0.000 0.000 0.500
3 Co 0.500 0.000 0.000
4 Br 0.000 0.000 0.000
5 Zn 0.500 0.500 0.500

***

Here is a relaxed ZrCo2BrF crystal from Alexandria via LeMat-Bulk. Energies are from PBE+U.

## Properties
DOS(E_F)	4.56	states/eV per cell
raw total energy	-3.65	eV/atom

Lattice parameters (Å, degrees): 4.222 5.247 4.222 90.00 90.00 90.00
Fractional coordinates of all 5 atoms:
1 Co 0.000 0.000 0.500
2 Co 0.500 0.000 0.000
3 Br 0.000 0.000 0.000
4 Zr 0.000 0.500 0.000
5 F 0.500 0.500 0.500